A relaxed structure of PrNp2Pd9, computed with PBE.

Calculated values
The calculation puts the formation energy at -53.4 kJ per mole of atoms.

Cell: 4.1652 4.1652 12.4953 Å, 90.00 90.00 90.00°
Last column: nearest neighbours and their distance in Å.
Space group P4/mmm (No. 123)
Unique sites:
Pr: 0.0000 0.0000 0.0000  12 Pd 2.95-3.01
Np: 0.0000 0.0000 0.3349  12 Pd 2.90-2.95
Pd: 0.0000 0.5000 0.1736  2 Np 2.90, 8 Pd 2.91-3.01, 2 Pr 3.01
Pd: 0.0000 0.5000 0.5000  8 Pd 2.92-2.95, 4 Np 2.93
Pd: 0.5000 0.5000 0.0000  4 Pr 2.95, 8 Pd 3.01
Pd: 0.5000 0.5000 0.3359  8 Pd 2.91-2.92, 4 Np 2.95